LaHgB after structural relaxation. Source: Alexandria via LeMat-Bulk, functional PBE.

Cell and atoms, written as CIF:
```
data_LaHgB
_chemical_formula_sum 'La2 Hg2 B2'
_cell_length_a 5.597
_cell_length_b 6.589
_cell_length_c 3.962
_cell_angle_alpha 90.00
_cell_angle_beta 90.00
_cell_angle_gamma 110.01
_symmetry_space_group_name_H-M 'P 1'
_symmetry_Int_Tables_number 1
loop_
_symmetry_equiv_pos_as_xyz
'x,y,z'
loop_
_atom_site_label
_atom_site_fract_x
_atom_site_fract_y
_atom_site_fract_z
B1 0.911 0.483 0.440
B2 0.523 0.743 0.940
Hg1 0.606 0.947 0.440
Hg2 0.828 0.279 0.940
La1 0.392 0.435 0.440
La2 0.042 0.791 0.940
```

Calculated values
- E_form (eV/atom) = 0.156
- D(E_F) (states/eV/f.u.) = 2.17
- energy above the lowest structure with this stoichiometry (eV/atom) = 0.552
- symmetry = No. 11
- energy (eV/atom) = -3.813